Record 1
{"formula": "TbFeRe", "functional": "PBE", "state": "optimized geometry", "sg": "No. 216", "formation_enthalpy_0k_mev_per_atom": 620, "volume_a3_per_atom": 18.8, "lattice": [[0.000, 3.046, 3.046], [3.046, 0.000, 3.046], [3.046, 3.046, 0.000]], "species": ["Tb", "Fe", "Re"], "fractional_positions": [[0.000, 0.000, 0.000], [0.750, 0.750, 0.750], [0.500, 0.500, 0.500]]}

Record 2
{"formula": "TbFe2Re2", "functional": "PBE", "state": "optimized geometry", "sg": "No. 139", "de_polymorph_mev_per_atom": 0, "formation_enthalpy_0k_mev_per_atom": 46, "volume_a3_per_atom": 16.1, "lattice": [[-2.013, 2.013, 4.974], [2.013, -2.013, 4.974], [2.013, 2.013, -4.974]], "species": ["Tb", "Fe", "Fe", "Re", "Re"], "fractional_positions": [[0.000, 0.000, 0.000], [0.386, 0.386, 0.000], [0.614, 0.614, 0.000], [0.250, 0.750, 0.500], [0.750, 0.250, 0.500]]}

Record 3
{"formula": "TlFeReTc", "functional": "PBE", "state": "optimized geometry", "sg": "No. 216", "de_polymorph_mev_per_atom": 0, "volume_a3_per_atom": 15.7, "lattice": [[0.000, 3.158, 3.158], [3.158, 0.000, 3.158], [3.158, 3.158, 0.000]], "species": ["Tl", "Fe", "Re", "Tc"], "fractional_positions": [[0.000, 0.000, 0.000], [0.250, 0.250, 0.250], [0.500, 0.500, 0.500], [0.750, 0.750, 0.750]]}